! PBE+U MnIrF2, relaxed; values from VASP
&SYSTEM
  ibrav = 0, nat = 4, ntyp = 3
/
ATOMIC_SPECIES
Ir 192.22 Ir.upf
F 19.00 F.upf
Mn 54.94 Mn.upf
CELL_PARAMETERS angstrom
0.000 2.995 2.995
2.995 0.000 2.995
2.995 2.995 0.000
ATOMIC_POSITIONS angstrom
Ir 2.995 2.995 2.995
F 1.498 1.498 1.498
F 4.493 4.493 4.493
Mn 0.000 0.000 0.000
! * theoretical density: 8.8 Mg/m³
! * SG: Fm-3m
! * polymorph energy (0 for the lowest one): 631 meV per atom